(1)
# SmZr2Al6 GGA-PBE relaxed
# DFT formation energy	-428	meV per atom
# spin magnetization	0.0	μB/cell
# offset from the most stable computed form	0.000	eV per formula unit
data_SmZr2Al6
_chemical_formula_sum 'Sm1 Zr2 Al6'
_cell_length_a 3.349
_cell_length_b 7.747
_cell_length_c 7.747
_cell_angle_alpha 120.00
_cell_angle_beta 90.00
_cell_angle_gamma 90.00
_symmetry_space_group_name_H-M 'P 1'
_symmetry_Int_Tables_number 1
loop_
_symmetry_equiv_pos_as_xyz
'x,y,z'
loop_
_atom_site_label
_atom_site_type_symbol
_atom_site_fract_x
_atom_site_fract_y
_atom_site_fract_z
Sm1 Sm 0.000 0.000 0.000
Zr1 Zr 0.000 0.333 0.667
Zr2 Zr 0.000 0.667 0.333
Al1 Al 0.500 0.338 0.338
Al2 Al 0.500 0.662 0.662
Al3 Al 0.500 0.000 0.662
Al4 Al 0.500 0.662 0.000
Al5 Al 0.500 0.338 0.000
Al6 Al 0.500 0.000 0.338



(2)
# InMo2Br GGA-PBE relaxed
# raw formation energy	939	meV per atom
# spin magnetization	0.0	μB/cell
# offset from the most stable computed form	2.697	eV per formula unit
data_InMo2Br
_chemical_formula_sum 'In2 Mo4 Br2'
_cell_length_a 4.188
_cell_length_b 4.188
_cell_length_c 9.936
_cell_angle_alpha 77.83
_cell_angle_beta 77.83
_cell_angle_gamma 90.00
_symmetry_space_group_name_H-M 'P 1'
_symmetry_Int_Tables_number 1
loop_
_symmetry_equiv_pos_as_xyz
'x,y,z'
loop_
_atom_site_label
_atom_site_type_symbol
_atom_site_fract_x
_atom_site_fract_y
_atom_site_fract_z
Mo1 Mo 0.552 0.125 0.250
Mo2 Mo 0.198 0.625 0.250
Mo3 Mo 0.375 0.448 0.750
Mo4 Mo 0.875 0.802 0.750
Br1 Br 0.500 0.500 0.000
Br2 Br 0.250 0.750 0.500
In1 In 0.000 0.000 0.000
In2 In 0.750 0.250 0.500



(3)
# PaSnPtN GGA-PBE relaxed
# raw formation energy	-971	meV per atom
# spin magnetization	0.0	μB/cell
data_PaSnPtN
_chemical_formula_sum 'Pa2 Sn2 Pt2 N2'
_cell_length_a 4.237
_cell_length_b 4.237
_cell_length_c 8.272
_cell_angle_alpha 90.00
_cell_angle_beta 90.00
_cell_angle_gamma 90.00
_symmetry_space_group_name_H-M 'P 1'
_symmetry_Int_Tables_number 1
loop_
_symmetry_equiv_pos_as_xyz
'x,y,z'
loop_
_atom_site_label
_atom_site_type_symbol
_atom_site_fract_x
_atom_site_fract_y
_atom_site_fract_z
Pa1 Pa 0.000 0.500 0.880
Pa2 Pa 0.500 0.000 0.120
Sn1 Sn 0.000 0.000 0.500
Sn2 Sn 0.500 0.500 0.500
Pt1 Pt 0.500 0.000 0.705
Pt2 Pt 0.000 0.500 0.295
N1 N 0.500 0.500 0.000
N2 N 0.000 0.000 0.000



spin magnetization of number 1 (SmZr2Al6)?
0.0 μB/cell



Repeat the second record exactly.
# InMo2Br GGA-PBE relaxed
# raw formation energy	939	meV per atom
# spin magnetization	0.0	μB/cell
# offset from the most stable computed form	2.697	eV per formula unit
data_InMo2Br
_chemical_formula_sum 'In2 Mo4 Br2'
_cell_length_a 4.188
_cell_length_b 4.188
_cell_length_c 9.936
_cell_angle_alpha 77.83
_cell_angle_beta 77.83
_cell_angle_gamma 90.00
_symmetry_space_group_name_H-M 'P 1'
_symmetry_Int_Tables_number 1
loop_
_symmetry_equiv_pos_as_xyz
'x,y,z'
loop_
_atom_site_label
_atom_site_type_symbol
_atom_site_fract_x
_atom_site_fract_y
_atom_site_fract_z
Mo1 Mo 0.552 0.125 0.250
Mo2 Mo 0.198 0.625 0.250
Mo3 Mo 0.375 0.448 0.750
Mo4 Mo 0.875 0.802 0.750
Br1 Br 0.500 0.500 0.000
Br2 Br 0.250 0.750 0.500
In1 In 0.000 0.000 0.000
In2 In 0.750 0.250 0.500



Copy entry 1 word for word.
# SmZr2Al6 GGA-PBE relaxed
# DFT formation energy	-428	meV per atom
# spin magnetization	0.0	μB/cell
# offset from the most stable computed form	0.000	eV per formula unit
data_SmZr2Al6
_chemical_formula_sum 'Sm1 Zr2 Al6'
_cell_length_a 3.349
_cell_length_b 7.747
_cell_length_c 7.747
_cell_angle_alpha 120.00
_cell_angle_beta 90.00
_cell_angle_gamma 90.00
_symmetry_space_group_name_H-M 'P 1'
_symmetry_Int_Tables_number 1
loop_
_symmetry_equiv_pos_as_xyz
'x,y,z'
loop_
_atom_site_label
_atom_site_type_symbol
_atom_site_fract_x
_atom_site_fract_y
_atom_site_fract_z
Sm1 Sm 0.000 0.000 0.000
Zr1 Zr 0.000 0.333 0.667
Zr2 Zr 0.000 0.667 0.333
Al1 Al 0.500 0.338 0.338
Al2 Al 0.500 0.662 0.662
Al3 Al 0.500 0.000 0.662
Al4 Al 0.500 0.662 0.000
Al5 Al 0.500 0.338 0.000
Al6 Al 0.500 0.000 0.338



What is the formula in the third record?
PaSnPtN